Entry 1:
# Ho3Tm6Mg | the Alexandria database | PBE-GGA | optimized geometry
data_Ho3Tm6Mg
_chemical_formula_sum 'Ho6 Tm12 Mg2'
_cell_length_a 10.9610
_cell_length_b 4.9357
_cell_length_c 11.0114
_cell_angle_alpha 90.00
_cell_angle_beta 90.22
_cell_angle_gamma 90.00
_space_group_name_H-M_alt 'P 1 21/m 1'
_space_group_IT_number 11
_space_group_name_Hall '-P 2yb'
loop_
_atom_site_label
_atom_site_fract_x
_atom_site_fract_y
_atom_site_fract_z
_atom_site_occupancy
Ho1 0.0511 0.2500 0.4000 1
Ho2 0.1520 0.7500 0.2023 1
Ho3 0.2515 0.2500 0.0022 1
Tm1 0.0513 0.7500 0.8979 1
Tm2 0.1524 0.2500 0.6998 1
Tm3 0.2537 0.7500 0.5009 1
Tm4 0.3500 0.7500 0.8020 1
Tm5 0.3521 0.2500 0.3038 1
Tm6 0.4512 0.7500 0.0998 1
Mg1 0.4513 0.2500 0.5990 1
# Energy above the lowest structure with this stoichiometry, eV/f.u.: 0.00
# Energy of formation, eV per atom: 0.024
# E, Ha/atom: -0.1541

Entry 2:
# BeAgSb2 | the Alexandria database | PBE-GGA | optimized geometry
data_BeAgSb2
_chemical_formula_sum 'Be2 Ag2 Sb4'
_cell_length_a 4.3721
_cell_length_b 5.2219
_cell_length_c 8.0239
_cell_angle_alpha 90.00
_cell_angle_beta 90.00
_cell_angle_gamma 90.00
_space_group_name_H-M_alt 'A m m 2'
_space_group_IT_number 38
_space_group_name_Hall 'A 2 -2'
loop_
_atom_site_label
_atom_site_fract_x
_atom_site_fract_y
_atom_site_fract_z
_atom_site_occupancy
Be1 0.0000 0.0000 0.0000 1
Ag1 0.5000 0.0000 0.8451 1
Sb1 0.0000 0.0000 0.6322 1
Sb2 0.5000 0.0000 0.1865 1
# E, Ha/atom: -0.1283
# ΔE_f (raw), eV per atom: 0.21